Record 1
DFT (PBE) results for a relaxed structure of Ca2GaSn.

M_tot (μB per formula unit): 0.00
VASP energy (eV per cell): -26.7
DOS(E_F) (states/eV per atom): 0.533

Cell lengths 6.1564, 4.3727, 8.9360 Å; angles 90.00, 107.68, 90.00 degrees
Fractional coordinates of all 8 atoms:
Ca 0.2025 0.2500 0.4262
Ca 0.2836 0.7500 0.0660
Ca 0.7164 0.2500 0.9340
Ca 0.7975 0.7500 0.5738
Ga 0.1329 0.2500 0.7901
Ga 0.8671 0.7500 0.2099
Sn 0.3621 0.7500 0.7140
Sn 0.6379 0.2500 0.2860

Record 2
DFT (PBE) results for a relaxed structure of Ca3GaSn2.

M_tot (μB per formula unit): 0.00
VASP energy (eV per cell): -81.8
DOS(E_F) (states/eV per atom): 0.457

Cell lengths 12.5818, 4.4617, 12.6491 Å; angles 90.00, 90.00, 90.00 degrees
Fractional coordinates of all 24 atoms:
Ca 0.0583 0.2500 0.1180
Ca 0.1224 0.7500 0.5520
Ca 0.2088 0.2500 0.7916
Ca 0.2912 0.7500 0.2916
Ca 0.3776 0.2500 0.0520
Ca 0.4417 0.7500 0.6180
Ca 0.5583 0.2500 0.3820
Ca 0.6224 0.7500 0.9480
Ca 0.7088 0.2500 0.7084
Ca 0.7912 0.7500 0.2084
Ca 0.8776 0.2500 0.4480
Ca 0.9417 0.7500 0.8820
Ga 0.1427 0.2500 0.3473
Ga 0.3573 0.7500 0.8473
Ga 0.6427 0.2500 0.1527
Ga 0.8573 0.7500 0.6527
Sn 0.0187 0.7500 0.3145
Sn 0.1948 0.7500 0.9948
Sn 0.3052 0.2500 0.4948
Sn 0.4813 0.2500 0.8145
Sn 0.5187 0.7500 0.1855
Sn 0.6948 0.7500 0.5052
Sn 0.8052 0.2500 0.0052
Sn 0.9813 0.2500 0.6855

Record 3
DFT (PBE) results for a relaxed structure of CaGaSn5.

M_tot (μB per formula unit): 0.00
VASP energy (eV per cell): -51.7
DOS(E_F) (states/eV per atom): 0.429

Cell lengths 8.8826, 8.8826, 6.4001 Å; angles 110.63, 110.63, 58.05 degrees
Fractional coordinates of all 14 atoms:
Ca 0.2054 0.7946 0.7500
Ca 0.7946 0.2054 0.2500
Ga 0.0000 0.5000 0.0000
Ga 0.5000 0.0000 0.5000
Sn 0.1620 0.1648 0.6633
Sn 0.1648 0.1620 0.1633
Sn 0.2193 0.7807 0.2500
Sn 0.3820 0.3824 0.3850
Sn 0.3824 0.3820 0.8850
Sn 0.6176 0.6180 0.1150
Sn 0.6180 0.6176 0.6150
Sn 0.7807 0.2193 0.7500
Sn 0.8352 0.8380 0.8367
Sn 0.8380 0.8352 0.3367

Record 4
DFT (PBE) results for a relaxed structure of Ca2GaSn.

M_tot (μB per formula unit): 0.00
VASP energy (eV per cell): -13.1
DOS(E_F) (states/eV per atom): 0.351

Cell lengths 3.7727, 3.7727, 7.4914 Å; angles 90.00, 90.00, 90.00 degrees
Fractional coordinates of all 4 atoms:
Ca 0.0000 0.0000 0.2386
Ca 0.0000 0.0000 0.7614
Ga 0.5000 0.5000 0.0000
Sn 0.5000 0.5000 0.5000

Q: Which value of VASP energy does entry 3 give?
A: -51.7 eV per cell